No. 1
DFT (PBE-GGA) results for an optimized crystal structure of Ca11Hg9Pt4. Values from VASP.

Values from the calculation:
The density of states at the Fermi level comes out at 18.65 states/eV/f.u. The calculation puts the energy relative to the elements at -62.0 kJ/mol of atoms. Its final energy is -64.32 eV/cell.

Quantum ESPRESSO input file:
```
&SYSTEM
  ibrav = 0, nat = 24, ntyp = 3
/
ATOMIC_SPECIES
Hg 200.59 Hg.upf
Pt 195.08 Pt.upf
Ca 40.08 Ca.upf
CELL_PARAMETERS angstrom
3.8526 0.0000 0.0000
0.0000 12.0921 -5.0860
0.0000 0.0752 13.1179
ATOMIC_POSITIONS angstrom
Hg 1.9263 0.7714 2.4834
Pt 1.9263 3.0942 4.6132
Ca 0.0000 7.6482 1.6459
Hg 1.9263 1.8910 7.4452
Ca 0.0000 0.9762 5.0295
Ca 0.0000 3.6394 2.4024
Pt 1.9263 6.7092 6.9996
Hg 1.9263 10.2762 0.5867
Ca 0.0000 2.0834 10.0757
Hg 1.9263 4.5779 9.2189
Ca 0.0000 7.1587 9.1107
Ca 0.0000 8.5279 5.6295
Ca 0.0000 11.1910 3.0024
Ca 0.0000 5.0085 -1.0788
Ca 0.0000 4.5191 6.3860
Pt 1.9263 5.4580 1.0323
Hg 1.9263 9.5805 8.2985
Ca 0.0000 0.0000 0.0000
Hg 1.9263 2.5867 -0.2666
Ca 0.0000 10.0838 -2.0438
Hg 1.9263 11.3958 5.5485
Hg 1.9263 6.0836 4.0160
Pt 1.9263 9.0730 3.4187
Hg 1.9263 7.5893 -1.1870
```



No. 2
DFT (PBE-GGA) results for an optimized crystal structure of CaHgPt. Values from VASP.

Values from the calculation:
The density of states at the Fermi level comes out at 0.39 states/eV/f.u. The calculation puts the energy relative to the elements at -23.5 kJ/mol of atoms. Its final energy is -9.08 eV/cell.

Quantum ESPRESSO input file:
```
&SYSTEM
  ibrav = 0, nat = 3, ntyp = 3
/
ATOMIC_SPECIES
Hg 200.59 Hg.upf
Ca 40.08 Ca.upf
Pt 195.08 Pt.upf
CELL_PARAMETERS angstrom
-0.4757 -1.1742 4.6596
-4.0386 -2.1467 1.5488
0.0932 -4.6373 1.3430
ATOMIC_POSITIONS angstrom
Hg 0.0000 0.0000 0.0000
Ca -3.3158 -5.9687 5.6636
Pt -2.2105 -3.9791 3.7757
```



No. 3
DFT (PBE-GGA) results for an optimized crystal structure of Ca3HgPt2. Values from VASP.

Values from the calculation:
The density of states at the Fermi level comes out at 1.32 states/eV/f.u. The calculation puts the energy relative to the elements at -75.9 kJ/mol of atoms. Its final energy is -23.11 eV/cell. The distance to the lowest polymorph of the same formula comes out at 0.00 kJ/mol of atoms.

Quantum ESPRESSO input file:
```
&SYSTEM
  ibrav = 0, nat = 6, ntyp = 3
/
ATOMIC_SPECIES
Ca 40.08 Ca.upf
Hg 200.59 Hg.upf
Pt 195.08 Pt.upf
CELL_PARAMETERS angstrom
3.5966 0.0000 0.0000
0.0000 3.5966 0.0000
0.0000 0.0000 10.7687
ATOMIC_POSITIONS angstrom
Ca 0.0000 0.0000 7.4361
Hg 1.7983 1.7983 5.3843
Pt 1.7983 1.7983 9.0837
Ca 0.0000 0.0000 0.0000
Ca 0.0000 0.0000 3.3326
Pt 1.7983 1.7983 1.6850
```



No. 4
DFT (PBE-GGA) results for an optimized crystal structure of CaHgPt. Values from VASP.

Values from the calculation:
The density of states at the Fermi level comes out at 1.55 states/eV/f.u. The calculation puts the energy relative to the elements at -55.6 kJ/mol of atoms. Its final energy is -10.07 eV/cell.

Quantum ESPRESSO input file:
```
&SYSTEM
  ibrav = 0, nat = 3, ntyp = 3
/
ATOMIC_SPECIES
Pt 195.08 Pt.upf
Ca 40.08 Ca.upf
Hg 200.59 Hg.upf
CELL_PARAMETERS angstrom
-1.2737 -4.1066 -1.9703
4.5764 1.1491 0.3229
0.1749 -1.6037 3.2295
ATOMIC_POSITIONS angstrom
Pt 2.7138 -1.4046 1.1733
Ca 0.1749 -1.6037 3.2294
Hg 0.7638 -3.1565 0.4089
```



No. 5
DFT (PBE-GGA) results for an optimized crystal structure of CaHg2Pt. Values from VASP.

Values from the calculation:
The density of states at the Fermi level comes out at 1.53 states/eV/f.u. The calculation puts the energy relative to the elements at -41.3 kJ/mol of atoms. Its final energy is -10.36 eV/cell.

Quantum ESPRESSO input file:
```
&SYSTEM
  ibrav = 0, nat = 4, ntyp = 3
/
ATOMIC_SPECIES
Ca 40.08 Ca.upf
Hg 200.59 Hg.upf
Pt 195.08 Pt.upf
CELL_PARAMETERS angstrom
5.3445 -0.1807 -0.2322
1.8410 5.0206 0.2322
-3.4382 -2.6493 3.1320
ATOMIC_POSITIONS angstrom
Ca 0.9977 2.3957 1.6821
Hg 7.1723 4.8311 0.0000
Pt 2.7495 -0.2050 1.4499
Hg 3.6058 2.4288 0.0000
```



No. 6
DFT (PBE-GGA) results for an optimized crystal structure of CaHgPt. Values from VASP.

Values from the calculation:
The density of states at the Fermi level comes out at 1.37 states/eV/f.u. The calculation puts the energy relative to the elements at -60.4 kJ/mol of atoms. Its final energy is -20.45 eV/cell.

Quantum ESPRESSO input file:
```
&SYSTEM
  ibrav = 0, nat = 6, ntyp = 3
/
ATOMIC_SPECIES
Ca 40.08 Ca.upf
Hg 200.59 Hg.upf
Pt 195.08 Pt.upf
CELL_PARAMETERS angstrom
-5.3893 0.2866 0.2548
-3.0137 -1.4065 -4.8446
-2.9295 -4.9994 0.9773
ATOMIC_POSITIONS angstrom
Ca -10.2888 -5.5783 -2.5411
Hg -4.7933 -2.8079 -4.0092
Pt -8.7818 -4.8740 -0.1192
Hg -7.4652 -3.6364 -2.3073
Pt -6.0872 -5.0174 -0.2465
Ca -4.6226 -2.5178 -0.7362
```



No. 7
DFT (PBE-GGA) results for an optimized crystal structure of CaHg3Pt8. Values from VASP.

Values from the calculation:
The density of states at the Fermi level comes out at 12.99 states/eV/f.u. The calculation puts the energy relative to the elements at -20.5 kJ/mol of atoms. Its final energy is -53.78 eV/cell.

Quantum ESPRESSO input file:
```
&SYSTEM
  ibrav = 0, nat = 12, ntyp = 3
/
ATOMIC_SPECIES
Pt 195.08 Pt.upf
Hg 200.59 Hg.upf
Ca 40.08 Ca.upf
CELL_PARAMETERS angstrom
5.1350 -0.0554 1.6090
2.2842 4.5993 1.6090
0.0709 0.0434 9.3884
ATOMIC_POSITIONS angstrom
Pt 5.0762 3.1089 10.9866
Pt 6.1154 2.1253 3.9280
Pt 1.3854 0.8485 4.6701
Hg 3.6659 2.2452 6.3778
Hg 0.1650 0.1011 9.4065
Pt 4.6723 4.4817 3.9280
Pt 3.4440 2.1093 3.5334
Ca 6.5345 4.0021 6.3319
Pt 5.6530 1.8469 8.6259
Hg 2.8031 1.7168 9.3988
Pt 4.2141 4.1963 8.6259
Pt 6.8284 4.1821 9.2809
```



No. 8
DFT (PBE-GGA) results for an optimized crystal structure of CaHg2Pt. Values from VASP.

Values from the calculation:
The density of states at the Fermi level comes out at 1.58 states/eV/f.u. The calculation puts the energy relative to the elements at -36.7 kJ/mol of atoms. Its final energy is -10.17 eV/cell.

Quantum ESPRESSO input file:
```
&SYSTEM
  ibrav = 0, nat = 4, ntyp = 3
/
ATOMIC_SPECIES
Ca 40.08 Ca.upf
Hg 200.59 Hg.upf
Pt 195.08 Pt.upf
CELL_PARAMETERS angstrom
-2.3796 3.6397 2.7407
-3.0316 -3.0356 2.8313
5.0962 -0.5044 -0.4425
ATOMIC_POSITIONS angstrom
Ca -0.3200 -1.6190 2.5869
Hg 0.0054 1.7187 2.5423
Pt -2.7061 0.3021 2.7865
Hg -5.4111 0.6041 5.5719
```



No. 9
DFT (PBE-GGA) results for an optimized crystal structure of Ca2Hg3Pt. Values from VASP.

Values from the calculation:
The density of states at the Fermi level comes out at 3.74 states/eV/f.u. The calculation puts the energy relative to the elements at -50.9 kJ/mol of atoms. Its final energy is -14.12 eV/cell.

Quantum ESPRESSO input file:
```
&SYSTEM
  ibrav = 0, nat = 6, ntyp = 3
/
ATOMIC_SPECIES
Ca 40.08 Ca.upf
Pt 195.08 Pt.upf
Hg 200.59 Hg.upf
CELL_PARAMETERS angstrom
-1.7793 2.2275 2.2740
1.4475 -2.6417 3.7203
7.0939 4.9186 0.7325
ATOMIC_POSITIONS angstrom
Ca 1.0422 -1.1001 1.8930
Ca 3.3187 2.3011 0.3427
Pt 2.1920 1.4278 3.2406
Hg 5.0317 5.2194 1.7485
Hg 0.3041 1.9415 1.2603
Hg 4.4586 2.9994 3.4747
```



No. 10
DFT (PBE-GGA) results for an optimized crystal structure of Ca5Hg2Pt. Values from VASP.

Values from the calculation:
The density of states at the Fermi level comes out at 5.45 states/eV/f.u. The calculation puts the energy relative to the elements at -55.4 kJ/mol of atoms. Its final energy is -42.50 eV/cell.

Quantum ESPRESSO input file:
```
&SYSTEM
  ibrav = 0, nat = 16, ntyp = 3
/
ATOMIC_SPECIES
Hg 200.59 Hg.upf
Pt 195.08 Pt.upf
Ca 40.08 Ca.upf
CELL_PARAMETERS angstrom
4.5561 0.0000 0.0000
0.0000 8.2955 0.0000
0.0000 0.0000 12.7755
ATOMIC_POSITIONS angstrom
Hg 2.2780 4.6316 2.1789
Pt 0.0000 0.0000 0.0000
Ca 0.0000 1.2692 10.2438
Pt 0.0000 4.1477 6.3878
Hg 2.2780 7.8116 8.5666
Hg 2.2780 3.6639 10.5966
Ca 0.0000 5.4169 8.9194
Ca 2.2780 6.8311 11.7620
Ca 0.0000 2.8786 3.8561
Hg 2.2780 0.4839 4.2089
Ca 2.2780 1.4644 1.0135
Ca 2.2780 5.6122 5.3743
Ca 0.0000 0.0000 6.3878
Ca 0.0000 7.0263 2.5317
Ca 0.0000 4.1477 0.0000
Ca 2.2780 2.6833 7.4012
```



No. 11
DFT (PBE-GGA) results for an optimized crystal structure of CaHg3Pt. Values from VASP.

Values from the calculation:
The density of states at the Fermi level comes out at 2.93 states/eV/f.u. The calculation puts the energy relative to the elements at -14.7 kJ/mol of atoms. Its final energy is -9.71 eV/cell. The distance to the lowest polymorph of the same formula comes out at 0.00 kJ/mol of atoms.

Quantum ESPRESSO input file:
```
&SYSTEM
  ibrav = 0, nat = 5, ntyp = 3
/
ATOMIC_SPECIES
Hg 200.59 Hg.upf
Pt 195.08 Pt.upf
Ca 40.08 Ca.upf
CELL_PARAMETERS angstrom
-1.8218 4.9262 0.2561
-3.9468 -1.6194 3.0745
2.9591 0.8729 4.2584
ATOMIC_POSITIONS angstrom
Hg 1.4795 0.4365 2.1292
Hg -1.9734 -0.8097 1.5372
Pt 0.0000 0.0000 0.0000
Ca -1.4047 2.0899 3.7945
Hg -0.9109 2.4631 0.1280
```



No. 12
DFT (PBE-GGA) results for an optimized crystal structure of Ca4Hg5Pt2. Values from VASP.

Values from the calculation:
The density of states at the Fermi level comes out at 4.43 states/eV/f.u. The calculation puts the energy relative to the elements at -59.9 kJ/mol of atoms. Its final energy is -28.43 eV/cell.

Quantum ESPRESSO input file:
```
&SYSTEM
  ibrav = 0, nat = 11, ntyp = 3
/
ATOMIC_SPECIES
Pt 195.08 Pt.upf
Ca 40.08 Ca.upf
Hg 200.59 Hg.upf
CELL_PARAMETERS angstrom
3.7909 0.0000 0.0000
0.0000 7.6984 -0.0038
0.0000 -0.7490 9.6532
ATOMIC_POSITIONS angstrom
Pt 0.0000 6.8579 3.4985
Pt 0.0000 0.0915 6.1509
Ca 1.8955 0.7959 8.2302
Hg 0.0000 1.1503 1.3902
Ca 1.8955 5.5673 5.4445
Hg 0.0000 5.7990 8.2591
Ca 1.8955 1.3821 4.2049
Hg 0.0000 3.8492 -0.0019
Ca 1.8955 6.1535 1.4192
Hg 0.0000 3.9684 3.1981
Hg 0.0000 2.9810 6.4512
```